Ca2GaHPt GGA-PBE relaxed; space group = P4/mmm; N(E_F) = 3.3 states/eV per cell; raw total energy = -19.381 eV/cell; total moment = 0.000 μB/atom
1.0
-4.3919 2.4575 0.9327
-0.4032 -2.4246 4.4897
1.8377 2.6736 1.6089
Pt Ca H Ga
1 2 1 1
Direct
0.0000 0.0000 0.5000
0.0000 0.5000 0.0000
0.5000 0.0000 0.0000
0.0000 0.0000 0.0000
0.5000 0.5000 0.5000

=====

CaGa2HRh GGA-PBE relaxed; space group = P4/mmm; N(E_F) = 3.3 states/eV per cell; raw total energy = -19.808 eV/cell; total moment = 0.000 μB/atom
1.0
-3.5771 -0.1979 -3.3620
1.4779 -3.0210 -1.3946
-2.7139 -2.7349 3.0485
Rh Ca Ga H
1 1 2 1
Direct
0.0000 0.0000 0.0000
0.5000 0.5000 0.5000
0.0000 0.0000 0.5000
0.5000 0.0000 0.0000
0.0000 0.5000 0.0000

=====

CaGaSiH GGA-PBE relaxed; space group = P3m1; raw total energy = -15.334 eV/cell; total moment = 0.000 μB/atom
1.0
4.0915 0.0000 0.0000
-2.0457 3.5433 0.0000
0.0000 0.0000 4.7399
Ca H Ga Si
1 1 1 1
Direct
0.0000 0.0000 0.9992
0.6667 0.3333 0.9268
0.6667 0.3333 0.5558
0.3333 0.6667 0.4337